GGA+U Zr2P2WO12, optimized geometry; theoretical density = 3.679 g/cm3; M_tot = 0.000 μB per cell; uncorrected energy = -8.178 eV per atom; SG = No. 60
1.0
-9.2906 -0.1324 0.9695
0.8807 -5.5624 7.6800
0.6190 10.2136 7.3264
O Zr P W
48 8 8 4
Direct
0.1517 0.1282 0.0720
0.8583 0.7404 0.6731
0.8583 0.7596 0.3269
0.1517 0.3718 0.9280
0.1417 0.2404 0.6731
0.9586 0.0675 0.3488
0.1721 0.0786 0.4713
0.4258 0.1578 0.5935
0.6517 0.3718 0.5720
0.7036 0.4920 0.7801
0.0742 0.8422 0.0935
0.6721 0.4214 0.9713
0.6721 0.0786 0.0287
0.3483 0.8718 0.5720
0.4258 0.3422 0.4065
0.7964 0.9920 0.7199
0.5414 0.9325 0.8488
0.3279 0.5786 0.0287
0.0742 0.6578 0.9065
0.7036 0.0080 0.2199
0.9258 0.1578 0.9065
0.2964 0.9920 0.7801
0.3279 0.9214 0.9713
0.7964 0.5080 0.2801
0.2036 0.4920 0.7199
0.8279 0.9214 0.5287
0.8483 0.8718 0.9280
0.0414 0.5675 0.3488
0.2964 0.5080 0.2199
0.4586 0.0675 0.1512
0.9586 0.4325 0.6512
0.1721 0.4214 0.5287
0.6417 0.2404 0.8269
0.0414 0.9325 0.6512
0.5742 0.8422 0.4065
0.5414 0.5675 0.1512
0.9258 0.3422 0.0935
0.2036 0.0080 0.2801
0.3483 0.6282 0.4280
0.8279 0.5786 0.4713
0.3583 0.7596 0.1731
0.3583 0.7404 0.8269
0.4586 0.4325 0.8488
0.5742 0.6578 0.5935
0.6517 0.1282 0.4280
0.1417 0.2596 0.3269
0.8483 0.6282 0.0720
0.6417 0.2596 0.1731
0.2750 0.5477 0.8695
0.7750 0.9523 0.3695
0.7250 0.0477 0.8695
0.7750 0.5477 0.6305
0.2250 0.0477 0.6305
0.2750 0.9523 0.1305
0.7250 0.4523 0.1305
0.2250 0.4523 0.3695
0.3805 0.8966 0.8572
0.6195 0.1034 0.1428
0.8805 0.6034 0.3572
0.3805 0.6034 0.1428
0.1195 0.1034 0.3572
0.1195 0.3966 0.6428
0.6195 0.3966 0.8572
0.8805 0.8966 0.6428
0.5390 0.2500 0.5000
0.0390 0.2500 0.0000
0.4610 0.7500 0.5000
0.9610 0.7500 0.0000